VASP calculation (GGA+U) on K2B2MoO6 after structural relaxation.

Computed properties:
crystal system: monoclinic
DFT total energy: -6.898 eV per atom

a b c (Å): 9.068 5.331 6.649
angles (deg): 90.00 116.91 90.00
Space group C2/m (No. 12)
Inequivalent atoms, fractional coordinates:
1 K 0.208 0.000 0.127
2 B 0.097 0.500 0.301
3 Mo 0.000 0.000 0.500
4 O 0.018 0.274 0.287
5 O 0.248 0.000 0.697


VASP calculation (GGA+U) on KBMo2O8 after structural relaxation.

Computed properties:
crystal system: monoclinic
DOS(E_F): 0.0 states/eV/cell
DFT total energy: -6.672 eV per atom

a b c (Å): 13.079 5.108 8.186
angles (deg): 90.00 126.83 90.00
Space group C2/m (No. 12)
Inequivalent atoms, fractional coordinates:
1 K 0.000 0.000 0.000
2 B 0.000 0.500 0.500
3 Mo 0.187 0.000 0.631
4 O 0.102 0.289 0.633
5 O 0.154 0.500 0.149
6 O 0.177 0.000 0.408


VASP calculation (GGA+U) on K2BMoO4 after structural relaxation.

Computed properties:
crystal system: orthorhombic
DFT total energy: -6.112 eV per atom

a b c (Å): 5.112 11.288 20.730
angles (deg): 90.00 90.00 90.00
Space group Fddd (No. 70, origin choice 2)
Inequivalent atoms, fractional coordinates:
1 K 0.125 0.125 0.304
2 B 0.125 0.125 0.625
3 Mo 0.125 0.125 0.125
4 O 0.054 0.298 0.836


VASP calculation (GGA+U) on KBMoO5 after structural relaxation.

Computed properties:
crystal system: monoclinic
DFT total energy: -6.718 eV per atom

a b c (Å): 6.714 8.616 7.351
angles (deg): 90.00 117.07 90.00
Space group C2/c (No. 15)
Inequivalent atoms, fractional coordinates:
1 K 0.000 0.086 0.250
2 B 0.000 0.440 0.250
3 Mo 0.250 0.250 0.000
4 O 0.000 0.191 0.750
5 O 0.062 0.334 0.117
6 O 0.199 0.459 0.873


Number 1: magnetization 0.182 μB/atom. Number 2: magnetization 0.000 μB/atom. Number 3: magnetization 0.375 μB/atom. Number 4: magnetization 0.000 μB/atom.